1.
A plane-wave DFT calculation with PBE was carried out for a relaxed structure of ZnOs2Cl.

uncorrected formation energy	737	meV/atom
energy relative to the lowest polymorph listed for this composition	561	meV/atom

Cell: 2.8070 2.8070 25.6315 Å, 90.00 90.00 120.00°
Space group R-3m (No. 166, hexagonal axes)
One atom of each set of equivalent atoms:
Zn1 0.0000 0.0000 0.0000 x3
Os1 0.0000 0.0000 0.2496 x6
Cl1 0.0000 0.0000 0.5000 x3

=====

2.
A plane-wave DFT calculation with PBE was carried out for a relaxed structure of Zn2OsCl.

uncorrected formation energy	421	meV/atom
energy relative to the lowest polymorph listed for this composition	328	meV/atom

Cell: 2.756 5.173 9.684 Å, 90.00 90.00 90.00°
Space group Cmm2 (No. 35)
One atom of each set of equivalent atoms:
Zn1 0.000 0.000 0.000 x2
Zn2 0.000 0.500 0.238 x2
Os1 0.000 0.500 0.770 x2
Cl1 0.000 0.000 0.571 x2